Record 1
Ba3CaMg | PBE | optimized geometry

```
data_Ba3CaMg
_cell_length_a 6.767
_cell_length_b 6.767
_cell_length_c 6.767
_cell_angle_alpha 90.00
_cell_angle_beta 90.00
_cell_angle_gamma 90.00
_space_group_name_H-M_alt 'P 1'
_space_group_IT_number 1
loop_
_space_group_symop_operation_xyz
'x,y,z'
loop_
_atom_site_label
_atom_site_type_symbol
_atom_site_fract_x
_atom_site_fract_y
_atom_site_fract_z
Ba1 Ba 0.000 0.000 0.500
Ba2 Ba 0.000 0.500 0.000
Ba3 Ba 0.500 0.000 0.000
Ca1 Ca 0.500 0.500 0.500
Mg1 Mg 0.000 0.000 0.000
```

Output
D(E_F) (states/eV per atom): 2.438
Space-group type: Pm-3m
Energy of formation (eV/atom): 0.25
Offset from the most stable computed form (meV per atom): 217.3


Record 2
BaCa3Mg2 | PBE | optimized geometry

```
data_BaCa3Mg2
_cell_length_a 5.955
_cell_length_b 5.955
_cell_length_c 14.961
_cell_angle_alpha 90.00
_cell_angle_beta 90.00
_cell_angle_gamma 120.00
_space_group_name_H-M_alt 'P 1'
_space_group_IT_number 1
loop_
_space_group_symop_operation_xyz
'x,y,z'
loop_
_atom_site_label
_atom_site_type_symbol
_atom_site_fract_x
_atom_site_fract_y
_atom_site_fract_z
Ba1 Ba 0.000 0.000 0.250
Ba2 Ba 0.000 0.000 0.750
Ca1 Ca 0.000 0.000 0.000
Ca2 Ca 0.000 0.000 0.500
Ca3 Ca 0.333 0.667 0.096
Ca4 Ca 0.333 0.667 0.404
Ca5 Ca 0.667 0.333 0.596
Ca6 Ca 0.667 0.333 0.904
Mg1 Mg 0.333 0.667 0.634
Mg2 Mg 0.333 0.667 0.866
Mg3 Mg 0.667 0.333 0.134
Mg4 Mg 0.667 0.333 0.366
```

Output
D(E_F) (states/eV per atom): 1.508
Space-group type: P6_3/mmc
Energy of formation (eV/atom): 0.00
Offset from the most stable computed form (meV per atom): 29.3


Record 3
Ba2CaMg9 | PBE | optimized geometry

```
data_Ba2CaMg9
_cell_length_a 11.053
_cell_length_b 11.053
_cell_length_c 11.053
_cell_angle_alpha 33.47
_cell_angle_beta 33.47
_cell_angle_gamma 33.47
_space_group_name_H-M_alt 'P 1'
_space_group_IT_number 1
loop_
_space_group_symop_operation_xyz
'x,y,z'
loop_
_atom_site_label
_atom_site_type_symbol
_atom_site_fract_x
_atom_site_fract_y
_atom_site_fract_z
Ba1 Ba 0.142 0.142 0.142
Ba2 Ba 0.858 0.858 0.858
Ca1 Ca 0.000 0.000 0.000
Mg1 Mg 0.079 0.580 0.580
Mg2 Mg 0.334 0.334 0.334
Mg3 Mg 0.420 0.420 0.921
Mg4 Mg 0.420 0.921 0.420
Mg5 Mg 0.500 0.500 0.500
Mg6 Mg 0.580 0.079 0.580
Mg7 Mg 0.580 0.580 0.079
Mg8 Mg 0.666 0.666 0.666
Mg9 Mg 0.921 0.420 0.420
```

Output
D(E_F) (states/eV per atom): 0.731
Space-group type: R-3m
Energy of formation (eV/atom): -0.04


Record 4
Ba2Ca2Mg3 | PBE | optimized geometry

```
data_Ba2Ca2Mg3
_cell_length_a 16.413
_cell_length_b 16.413
_cell_length_c 3.991
_cell_angle_alpha 90.00
_cell_angle_beta 90.00
_cell_angle_gamma 165.19
_space_group_name_H-M_alt 'P 1'
_space_group_IT_number 1
loop_
_space_group_symop_operation_xyz
'x,y,z'
loop_
_atom_site_label
_atom_site_type_symbol
_atom_site_fract_x
_atom_site_fract_y
_atom_site_fract_z
Ba1 Ba 0.072 0.928 0.000
Ba2 Ba 0.928 0.072 0.000
Ca1 Ca 0.201 0.799 0.000
Ca2 Ca 0.799 0.201 0.000
Mg1 Mg 0.356 0.644 0.500
Mg2 Mg 0.500 0.500 0.500
Mg3 Mg 0.644 0.356 0.500
```

Output
D(E_F) (states/eV per atom): 0.797
Space-group type: Cmmm
Energy of formation (eV/atom): 0.00


Record 5
BaCa6Mg2 | PBE | optimized geometry

```
data_BaCa6Mg2
_cell_length_a 5.378
_cell_length_b 5.378
_cell_length_c 12.948
_cell_angle_alpha 90.00
_cell_angle_beta 90.00
_cell_angle_gamma 90.00
_space_group_name_H-M_alt 'P 1'
_space_group_IT_number 1
loop_
_space_group_symop_operation_xyz
'x,y,z'
loop_
_atom_site_label
_atom_site_type_symbol
_atom_site_fract_x
_atom_site_fract_y
_atom_site_fract_z
Ba1 Ba 0.000 0.000 0.000
Ca1 Ca 0.000 0.000 0.500
Ca2 Ca 0.000 0.500 0.278
Ca3 Ca 0.000 0.500 0.722
Ca4 Ca 0.500 0.000 0.278
Ca5 Ca 0.500 0.000 0.722
Ca6 Ca 0.500 0.500 0.500
Mg1 Mg 0.500 0.500 0.114
Mg2 Mg 0.500 0.500 0.886
```

Output
D(E_F) (states/eV per atom): 1.293
Space-group type: P4/mmm
Energy of formation (eV/atom): 0.03
Offset from the most stable computed form (meV per atom): 36.8


Record 6
BaCaMg2 | PBE | optimized geometry

```
data_BaCaMg2
_cell_length_a 5.763
_cell_length_b 5.750
_cell_length_c 5.736
_cell_angle_alpha 60.23
_cell_angle_beta 60.00
_cell_angle_gamma 59.77
_space_group_name_H-M_alt 'P 1'
_space_group_IT_number 1
loop_
_space_group_symop_operation_xyz
'x,y,z'
loop_
_atom_site_label
_atom_site_type_symbol
_atom_site_fract_x
_atom_site_fract_y
_atom_site_fract_z
Ba1 Ba 0.000 0.000 0.000
Ca1 Ca 0.750 0.750 0.750
Mg1 Mg 0.250 0.250 0.250
Mg2 Mg 0.500 0.500 0.500
```

Output
D(E_F) (states/eV per atom): 0.526
Space-group type: F222
Energy of formation (eV/atom): 0.00
Offset from the most stable computed form (meV per atom): 63.8


Record 7
Ba5Ca3Mg12 | PBE | optimized geometry

```
data_Ba5Ca3Mg12
_cell_length_a 17.301
_cell_length_b 17.301
_cell_length_c 17.301
_cell_angle_alpha 109.47
_cell_angle_beta 109.47
_cell_angle_gamma 109.47
_space_group_name_H-M_alt 'P 1'
_space_group_IT_number 1
loop_
_space_group_symop_operation_xyz
'x,y,z'
loop_
_atom_site_label
_atom_site_type_symbol
_atom_site_fract_x
_atom_site_fract_y
_atom_site_fract_z
Ba1 Ba 0.000 0.000 0.000
Ba2 Ba 0.000 0.000 0.500
Ba3 Ba 0.000 0.500 0.000
Ba4 Ba 0.000 0.500 0.500
Ba5 Ba 0.125 0.750 0.875
Ba6 Ba 0.125 0.875 0.250
Ba7 Ba 0.250 0.125 0.875
Ba8 Ba 0.250 0.625 0.375
Ba9 Ba 0.375 0.250 0.625
Ba10 Ba 0.375 0.625 0.750
Ba11 Ba 0.500 0.000 0.000
Ba12 Ba 0.500 0.000 0.500
Ba13 Ba 0.500 0.500 0.000
Ba14 Ba 0.500 0.500 0.500
Ba15 Ba 0.625 0.375 0.250
Ba16 Ba 0.625 0.750 0.375
Ba17 Ba 0.750 0.375 0.625
Ba18 Ba 0.750 0.875 0.125
Ba19 Ba 0.875 0.125 0.750
Ba20 Ba 0.875 0.250 0.125
Ca1 Ca 0.125 0.250 0.375
Ca2 Ca 0.125 0.375 0.750
Ca3 Ca 0.250 0.375 0.125
Ca4 Ca 0.250 0.875 0.625
Ca5 Ca 0.375 0.125 0.250
Ca6 Ca 0.375 0.750 0.125
Ca7 Ca 0.625 0.250 0.875
Ca8 Ca 0.625 0.875 0.750
Ca9 Ca 0.750 0.125 0.375
Ca10 Ca 0.750 0.625 0.875
Ca11 Ca 0.875 0.625 0.250
Ca12 Ca 0.875 0.750 0.625
Mg1 Mg 0.065 0.666 0.433
Mg2 Mg 0.065 0.899 0.632
Mg3 Mg 0.067 0.733 0.632
Mg4 Mg 0.067 0.834 0.435
Mg5 Mg 0.101 0.233 0.166
Mg6 Mg 0.101 0.368 0.935
Mg7 Mg 0.132 0.233 0.567
Mg8 Mg 0.132 0.399 0.565
Mg9 Mg 0.166 0.101 0.233
Mg10 Mg 0.166 0.565 0.933
Mg11 Mg 0.233 0.166 0.101
Mg12 Mg 0.233 0.567 0.132
Mg13 Mg 0.267 0.368 0.933
Mg14 Mg 0.267 0.399 0.334
Mg15 Mg 0.334 0.267 0.399
Mg16 Mg 0.334 0.567 0.935
Mg17 Mg 0.368 0.933 0.267
Mg18 Mg 0.368 0.935 0.101
Mg19 Mg 0.399 0.334 0.267
Mg20 Mg 0.399 0.565 0.132
Mg21 Mg 0.433 0.065 0.666
Mg22 Mg 0.433 0.868 0.767
Mg23 Mg 0.435 0.067 0.834
Mg24 Mg 0.435 0.868 0.601
Mg25 Mg 0.565 0.132 0.399
Mg26 Mg 0.565 0.933 0.166
Mg27 Mg 0.567 0.132 0.233
Mg28 Mg 0.567 0.935 0.334
Mg29 Mg 0.601 0.435 0.868
Mg30 Mg 0.601 0.666 0.733
Mg31 Mg 0.632 0.065 0.899
Mg32 Mg 0.632 0.067 0.733
Mg33 Mg 0.666 0.433 0.065
Mg34 Mg 0.666 0.733 0.601
Mg35 Mg 0.733 0.601 0.666
Mg36 Mg 0.733 0.632 0.067
Mg37 Mg 0.767 0.433 0.868
Mg38 Mg 0.767 0.834 0.899
Mg39 Mg 0.834 0.435 0.067
Mg40 Mg 0.834 0.899 0.767
Mg41 Mg 0.868 0.601 0.435
Mg42 Mg 0.868 0.767 0.433
Mg43 Mg 0.899 0.632 0.065
Mg44 Mg 0.899 0.767 0.834
Mg45 Mg 0.933 0.166 0.565
Mg46 Mg 0.933 0.267 0.368
Mg47 Mg 0.935 0.101 0.368
Mg48 Mg 0.935 0.334 0.567
```

Output
D(E_F) (states/eV per atom): 0.761
Space-group type: Ia-3d
Energy of formation (eV/atom): 0.34


Record 8
Ba8CaMg2 | PBE | optimized geometry

```
data_Ba8CaMg2
_cell_length_a 10.065
_cell_length_b 10.065
_cell_length_c 6.918
_cell_angle_alpha 99.01
_cell_angle_beta 99.01
_cell_angle_gamma 112.51
_space_group_name_H-M_alt 'P 1'
_space_group_IT_number 1
loop_
_space_group_symop_operation_xyz
'x,y,z'
loop_
_atom_site_label
_atom_site_type_symbol
_atom_site_fract_x
_atom_site_fract_y
_atom_site_fract_z
Ba1 Ba 0.068 0.323 0.591
Ba2 Ba 0.245 0.755 0.000
Ba3 Ba 0.323 0.068 0.591
Ba4 Ba 0.383 0.383 0.194
Ba5 Ba 0.617 0.617 0.806
Ba6 Ba 0.677 0.932 0.409
Ba7 Ba 0.755 0.245 0.000
Ba8 Ba 0.932 0.677 0.409
Ca1 Ca 0.000 0.000 0.000
Mg1 Mg 0.317 0.683 0.500
Mg2 Mg 0.683 0.317 0.500
```

Output
D(E_F) (states/eV per atom): 1.585
Space-group type: C2/m
Energy of formation (eV/atom): 0.07
Offset from the most stable computed form (meV per atom): 21.1